# 1
CdBRh3 GGA-PBE optimized geometry; electronic total energy = -5.712 eV/atom; SG = R-3c, No. 167
1.0
3.6924 2.1318 3.0463
-3.6924 2.1318 3.0463
0.0000 -4.2636 3.0463
Cd B Rh
2 2 6
Direct
0.0000 0.0000 0.0000
0.5000 0.5000 0.5000
0.2500 0.2500 0.2500
0.7500 0.7500 0.7500
0.0239 0.7500 0.4761
0.2500 0.5239 0.9761
0.4761 0.0239 0.7500
0.5239 0.9761 0.2500
0.7500 0.4761 0.0239
0.9761 0.2500 0.5239

# 2
Rb3PmPr2Te6 GGA-PBE optimized geometry; E_form (uncorrected) = -1633 kJ/mol of formula units; SG = C2/m, No. 12
1.0
4.0365 -6.9916 0.0000
4.0365 6.9916 0.0000
-2.6912 0.0000 8.5761
Rb Pm Pr Te
3 1 2 6
Direct
0.0000 0.0000 0.0000
0.3326 0.6674 0.0000
0.6674 0.3326 0.0000
0.5000 0.5000 0.5000
0.1665 0.8335 0.5000
0.8335 0.1665 0.5000
0.1014 0.4316 0.2945
0.2385 0.2385 0.7058
0.4316 0.1014 0.2945
0.5684 0.8986 0.7055
0.7615 0.7615 0.2942
0.8986 0.5684 0.7055